Entry 1:
NdMg2Pt2 | PBE | relaxed

extended XYZ file:
```
5
Lattice="-2.044 2.044 6.270 2.044 -2.044 6.270 2.044 2.044 -6.270" Properties=species:S:1:pos:R:3 pbc="T T T"
Nd 0.000 0.000 0.000
Mg 2.044 0.000 3.135
Mg 0.000 2.044 3.135
Pt 0.000 0.000 4.903
Pt 0.000 0.000 7.638
```

Values from the calculation:
energy: -24.5 eV/f.u.
DFT formation energy: -886 meV/atom
energy above the most stable polymorph in this dataset: 0 meV per atom
calculated volume: 104.77 Å³/cell
DOS(E_F): 2.3 states/eV/f.u.

***

Entry 2:
AgIrS2O | PBE | relaxed

extended XYZ file:
```
5
Lattice="4.830 0.000 0.000 0.000 4.830 0.000 0.000 0.000 3.693" Properties=species:S:1:pos:R:3 pbc="T T T"
Ag 0.000 0.000 0.000
Ir 2.415 2.415 0.000
S 0.000 2.415 1.846
S 2.415 0.000 1.846
O 2.415 2.415 1.846
```

Values from the calculation:
energy: -20.5 eV/f.u.
calculated volume: 86.15 Å³/cell
DOS(E_F): 6.4 states/eV/f.u.
E_form (uncorrected): 0.885 eV/atom

***

Entry 3:
InSb2Te | PBE | relaxed

extended XYZ file:
```
4
Lattice="4.467 0.000 0.000 0.000 4.467 0.000 0.000 0.000 6.100" Properties=species:S:1:pos:R:3 pbc="T T T"
In 0.000 0.000 0.000
Sb 0.000 0.000 3.050
Sb 2.233 2.233 3.050
Te 2.233 2.233 0.000
```

Values from the calculation:
energy: -14.5 eV/f.u.
energy above the most stable polymorph in this dataset: 0 meV per atom
calculated volume: 121.72 Å³/cell
DOS(E_F): 1.9 states/eV/f.u.
E_form (uncorrected): -0.086 eV/atom

***

Entry 4:
TbFe2SiH | PBE | relaxed

extended XYZ file:
```
10
Lattice="1.762 -5.205 0.000 1.762 5.205 0.000 0.000 0.000 7.138" Properties=species:S:1:pos:R:3 pbc="T T T"
Tb 1.762 4.732 5.353
Tb 1.762 -4.732 1.784
Fe 1.762 1.755 3.962
Fe 1.762 1.755 6.744
Fe 1.762 -1.755 0.394
Fe 1.762 -1.755 3.175
Si 1.762 2.768 1.784
Si 1.762 -2.768 5.353
H 1.762 0.000 0.000
H 1.762 0.000 3.569
```

Values from the calculation:
energy: -32.7 eV/f.u.
calculated volume: 130.90 Å³/cell
DOS(E_F): 2.6 states/eV/f.u.

***

Entry 5:
CeNd2DyS4 | PBE | relaxed

extended XYZ file:
```
8
Lattice="6.961 0.000 0.000 0.000 4.001 0.000 -2.303 0.000 6.584" Properties=species:S:1:pos:R:3 pbc="T T T"
Ce 0.000 0.000 0.000
Nd 2.329 0.000 3.292
Nd 3.480 2.000 0.000
Dy -1.152 2.000 3.292
S -0.049 0.000 4.880
S 1.104 2.000 1.663
S 3.554 2.000 4.921
S 4.707 0.000 1.705
```

Values from the calculation:
energy: -52.8 eV/f.u.
calculated volume: 183.38 Å³/cell
DOS(E_F): 7.4 states/eV/f.u.
E_form (uncorrected): -2.026 eV/atom

***

Entry 6:
Np3TiIn3Se8 | PBE | relaxed

extended XYZ file:
```
15
Lattice="4.017 2.319 7.823 -4.017 2.319 7.823 0.000 -4.639 7.823" Properties=species:S:1:pos:R:3 pbc="T T T"
Np -2.009 -1.160 7.823
Np -2.009 1.160 15.645
Np 0.000 2.319 7.823
Ti 0.000 0.000 0.000
In -4.017 0.000 11.734
In -2.009 1.160 3.911
In 2.009 1.160 3.911
Se 0.000 -2.479 9.384
Se -2.147 1.240 9.384
Se -2.147 -1.240 14.084
Se 0.000 0.000 6.146
Se 0.000 0.000 17.322
Se 2.147 1.240 9.384
Se 2.147 -1.240 14.084
Se 0.000 2.479 14.084
```

Values from the calculation:
energy: -95.9 eV/f.u.
calculated volume: 437.37 Å³/cell
DOS(E_F): 33.1 states/eV/f.u.
E_form (uncorrected): -0.874 eV/atom